GaNi3Ru | GGA-PBE | optimized geometry

The space group is Pm-3m (No. 221) and the conventional cell measures 4.450, 4.450 and 4.450 Å, with angles of 90.00, 90.00 and 90.00 degrees. The inequivalent atoms are Ga at (0.000, 0.000, 0.000), Ni at (0.000, 0.500, 0.500) and Ru at (0.500, 0.500, 0.500).

For the electronic total energy, the calculation gives -23.68 eV per cell. For the energy above the most stable polymorph in this dataset, the calculation gives 134.5 meV per atom. The calculation puts the formation energy at 1192.5 meV/atom.


FeCuRh | GGA-PBE | optimized geometry

The space group is Imm2 (No. 44) and the conventional cell measures 2.745, 3.572 and 7.932 Å, with angles of 90.00, 90.00 and 90.00 degrees. The inequivalent atoms are Fe at (0.000, 0.000, 0.000), Cu at (0.000, 0.000, 0.665) and Rh at (0.000, 0.000, 0.335).

For the electronic total energy, the calculation gives -39.73 eV per cell. For the energy above the most stable polymorph in this dataset, the calculation gives 24.7 meV per atom. The calculation puts the formation energy at 15.0 meV/atom.


HfNp2PdS5 | GGA-PBE | optimized geometry

The space group is Cmc2_1 (No. 36) and the conventional cell measures 3.734, 16.323 and 11.503 Å, with angles of 90.00, 90.00 and 90.00 degrees. The inequivalent atoms are Hf at (0.000, 0.191, 0.000), Np at (0.000, 0.110, 0.682), Np at (0.000, 0.121, 0.304), Pd at (0.000, 0.434, 0.425), S at (0.000, 0.042, 0.052), S at (0.000, 0.290, 0.655), S at (0.000, 0.298, 0.340), S at (0.000, 0.352, 0.996) and S at (0.000, 0.494, 0.749).

For the electronic total energy, the calculation gives -291.79 eV per cell. The value obtained for the uncorrected formation energy is -1254 meV per atom.


Zr2TeP2 | GGA-PBE | optimized geometry

The space group is P4/mbm (No. 127) and the conventional cell measures 7.669, 7.669 and 3.375 Å, with angles of 90.00, 90.00 and 90.00 degrees. The inequivalent atoms are Zr at (0.151, 0.349, 0.000), Te at (0.000, 0.000, 0.000) and P at (0.132, 0.632, 0.500).

For the electronic total energy, the calculation gives -71.29 eV per cell. For the energy above the most stable polymorph in this dataset, the calculation gives 0.0 meV per atom. The value obtained for the uncorrected formation energy is -918 meV per atom.


PmDy3Tm12 | GGA-PBE | optimized geometry

The space group is P4/mmm (No. 123) and the conventional cell measures 4.959, 4.959 and 19.840 Å, with angles of 90.00, 90.00 and 90.00 degrees. The inequivalent atoms are Pm at (0.000, 0.000, 0.000), Dy at (0.000, 0.000, 0.251), Dy at (0.000, 0.000, 0.500), Tm at (0.000, 0.500, 0.126), Tm at (0.000, 0.500, 0.375), Tm at (0.500, 0.500, 0.000), Tm at (0.500, 0.500, 0.251) and Tm at (0.500, 0.500, 0.500).

For the electronic total energy, the calculation gives -71.81 eV per cell. The calculation puts the formation energy at 25.0 meV/atom.


La2SiPb | GGA-PBE | optimized geometry

The space group is R-3m (No. 166, hexagonal axes) and the conventional cell measures 4.3081, 4.3081 and 24.7371 Å, with angles of 90.00, 90.00 and 120.00 degrees. The inequivalent atoms are La at (0.0000, 0.0000, 0.2367), Si at (0.0000, 0.0000, 0.5000) and Pb at (0.0000, 0.0000, 0.0000).

For the electronic total energy, the calculation gives -62.79 eV per cell. For the energy above the most stable polymorph in this dataset, the calculation gives 75.4 meV per atom. The value obtained for the uncorrected formation energy is -486 meV per atom.